# 1
# TiFeNi2P | Alexandria via LeMat-Bulk | PBE | optimized geometry
data_TiFeNi2P
_chemical_formula_sum 'Ti1 Fe1 Ni2 P1'
_space_group_name_H-M_alt 'P 4/m m m'
_space_group_IT_number 123
_space_group_name_Hall '-P 4 2'
_cell_length_a 4.273
_cell_length_b 4.273
_cell_length_c 4.278
_cell_angle_alpha 90.00
_cell_angle_beta 90.00
_cell_angle_gamma 90.00
loop_
_atom_site_label
_atom_site_type_symbol
_atom_site_fract_x
_atom_site_fract_y
_atom_site_fract_z
_atom_site_occupancy
Ti1 Ti 0.000 0.000 0.000 1
Fe1 Fe 0.000 0.000 0.500 1
Ni1 Ni 0.000 0.500 0.500 1
P1 P 0.500 0.500 0.000 1
# DFT total energy in eV/atom: -5.910
# M_tot in μB per cell: 2.09
# E_form in kJ/mol of atoms: 72.98



# 2
# TmFeNiP2 | Alexandria via LeMat-Bulk | PBE | optimized geometry
data_TmFeNiP2
_chemical_formula_sum 'Tm2 Fe2 Ni2 P4'
_space_group_name_H-M_alt 'I -4 m 2'
_space_group_IT_number 119
_space_group_name_Hall 'I -4 -2'
_cell_length_a 3.826
_cell_length_b 3.826
_cell_length_c 9.419
_cell_angle_alpha 90.00
_cell_angle_beta 90.00
_cell_angle_gamma 90.00
loop_
_atom_site_label
_atom_site_type_symbol
_atom_site_fract_x
_atom_site_fract_y
_atom_site_fract_z
_atom_site_occupancy
Tm1 Tm 0.000 0.000 0.000 1
Fe1 Fe 0.000 0.500 0.250 1
Ni1 Ni 0.000 0.500 0.750 1
P1 P 0.000 0.000 0.376 1
# DFT total energy in eV/atom: -6.861
# M_tot in μB per cell: 2.81
# E_form in kJ/mol of atoms: -92.07



# 3
# U2FeNi12P3 | Alexandria via LeMat-Bulk | PBE | optimized geometry
data_U2FeNi12P3
_chemical_formula_sum 'U6 Fe3 Ni36 P9'
_space_group_name_H-M_alt 'R -3 m'
_space_group_IT_number 166
_space_group_name_Hall '-R 3 2"'
_cell_length_a 8.2421
_cell_length_b 8.2421
_cell_length_c 12.0500
_cell_angle_alpha 90.00
_cell_angle_beta 90.00
_cell_angle_gamma 120.00
loop_
_atom_site_label
_atom_site_type_symbol
_atom_site_fract_x
_atom_site_fract_y
_atom_site_fract_z
_atom_site_occupancy
U1 U 0.0000 0.0000 0.1002 1
Fe1 Fe 0.0000 0.0000 0.5000 1
Ni1 Ni 0.0078 0.5039 0.8208 1
Ni2 Ni 0.0449 0.5224 0.3864 1
P1 P 0.0000 0.5000 0.0000 1
# DFT total energy in eV/atom: -6.530
# M_tot in μB per cell: 11.76
# E_form in kJ/mol of atoms: -4.78



Which of these has the highest E_form?
TiFeNi2P



E_form of number 1 (TiFeNi2P)?
72.98 kJ/mol of atoms



Which formula does entry 2 have?
TmFeNiP2